No. 1
A relaxed structure of CsAgPbCl4. Source: Alexandria, functional GGA-PBE.

Cell and atoms, written as CIF:
```
data_CsAgPbCl4
_cell_length_a 7.116
_cell_length_b 7.368
_cell_length_c 9.014
_cell_angle_alpha 90.00
_cell_angle_beta 99.01
_cell_angle_gamma 90.00
_symmetry_space_group_name_H-M 'P 1 21/m 1'
_symmetry_Int_Tables_number 11
loop_
_symmetry_equiv_pos_as_xyz
'x,y,z'
'-x,-y,-z'
'-x,y+1/2,-z'
'x,-y+1/2,z'
loop_
_atom_site_label
_atom_site_type_symbol
_atom_site_fract_x
_atom_site_fract_y
_atom_site_fract_z
Cs1 Cs 0.191 0.250 0.065
Ag1 Ag 0.374 0.250 0.688
Pb1 Pb 0.178 0.750 0.460
Cl1 Cl 0.111 0.504 0.704
Cl2 Cl 0.301 0.750 0.152
Cl3 Cl 0.433 0.250 0.412
```

Values from the calculation:
Spin magnetization (μB per atom): 0.000
Density of states at the Fermi level (states/eV/atom): 0.0000
Crystal system: monoclinic
E (eV per cell): -46.22
Energy relative to the elements, uncorrected (eV/f.u.): -8.31


No. 2
A relaxed structure of Tb3PmSb4. Source: Alexandria, functional GGA-PBE.

Cell and atoms, written as CIF:
```
data_Tb3PmSb4
_cell_length_a 6.254
_cell_length_b 6.254
_cell_length_c 6.254
_cell_angle_alpha 90.00
_cell_angle_beta 90.00
_cell_angle_gamma 90.00
_symmetry_space_group_name_H-M 'P m -3 m'
_symmetry_Int_Tables_number 221
_symmetry_space_group_name_Hall '-P 4 2 3'
loop_
_atom_site_label
_atom_site_type_symbol
_atom_site_fract_x
_atom_site_fract_y
_atom_site_fract_z
Tb1 Tb 0.000 0.000 0.500
Pm1 Pm 0.500 0.500 0.500
Sb1 Sb 0.000 0.000 0.000
Sb2 Sb 0.000 0.500 0.500
```

Values from the calculation:
Spin magnetization (μB per atom): 0.000
Density of states at the Fermi level (states/eV/atom): 0.0588
Crystal system: cubic
E (eV per cell): -44.41
Energy relative to the elements, uncorrected (eV/f.u.): -9.28